15
Lattice="-5.896 5.399 1.887 -1.328 2.059 7.841 2.676 8.268 2.585" Properties=species:S:1:pos:R:3 comment="Tb3Pr4Se8 | Alexandria via LeMat-Bulk | PBE | relaxed" formation_energy_uncorrected_ev_per_atom=-1.63 relative_energy_ev_per_fu=3.17 dos_at_fermi_per_ev_cell=6.80 final_energy_ev_per_cell=-85.41 pbc="T T T"
Tb -1.610 6.834 2.236
Tb 1.338 4.134 1.293
Tb 0.674 5.164 5.213
Pr 0.000 0.000 0.000
Pr -0.043 10.401 5.868
Pr -2.274 7.863 6.156
Pr -4.505 5.326 6.445
Se -0.845 4.264 3.040
Se -1.677 5.000 7.009
Se -4.712 7.780 7.980
Se -4.029 6.720 3.944
Se -3.703 11.463 9.272
Se -2.871 10.726 5.303
Se 0.164 7.947 4.332
Se -0.519 9.007 8.368

=====

4
Lattice="-1.427 -4.970 0.417 -0.459 -2.980 -4.222 2.987 2.935 3.062" Properties=species:S:1:pos:R:3 comment="NiOsRu2 | Alexandria via LeMat-Bulk | PBE | relaxed" ef_ev_per_atom=0.3306 relative_energy_ev_per_fu=0.99 dos_at_fermi_per_ev_cell=4.19 final_energy_ev_per_cell=-34.24 pbc="T T T"
Ni -0.940 -3.962 -1.897
Os 0.742 -2.219 -1.631
Ru -0.006 -0.024 -0.012
Ru 0.360 -2.784 0.894

=====

5
Lattice="-2.779 2.571 1.240 -1.987 -0.500 -3.417 -7.279 -6.138 2.807" Properties=species:S:1:pos:R:3 comment="Te2RhSe2 | Alexandria via LeMat-Bulk | PBE | relaxed" formation_energy_uncorrected_ev_per_atom=0.54 relative_energy_ev_per_fu=2.13 dos_at_fermi_per_ev_cell=4.44 final_energy_ev_per_cell=-17.89 pbc="T T T"
Te -6.221 -1.266 1.479
Te -5.824 -2.801 -0.849
Rh 0.000 0.000 0.000
Se -2.971 0.174 -0.621
Se -9.074 -4.241 1.251

=====

5
Lattice="5.983 0.000 0.000 0.000 5.787 0.000 0.000 0.000 5.983" Properties=species:S:1:pos:R:3 comment="CaTlMo2Pb | Alexandria via LeMat-Bulk | PBE | relaxed" ef_ev_per_atom=2.2062 dos_at_fermi_per_ev_cell=4.88 final_energy_ev_per_cell=-18.71 pbc="T T T"
Pb 2.991 2.893 2.991
Tl 0.000 2.893 0.000
Ca 0.000 0.000 0.000
Mo 0.000 0.000 2.991
Mo 2.991 0.000 0.000